1.
DFT (PBE) results for crystalline GaCu at its relaxed geometry.

Values from the calculation:
**Final energy**: -6.36 eV per cell

abc: 3.573 3.573 3.573
angles: 60.00 60.00 60.00
Positions (direct):
1 Ga 0.000 0.000 0.000
2 Cu 0.500 0.500 0.500

2.
DFT (PBE) results for crystalline Pr2AgPt at its relaxed geometry.

Values from the calculation:
**Size of the total moment**: 0.01 μB per cell
**Energy of formation**: -67 kJ per mole of atoms
**Final energy**: -42.40 eV per cell

abc: 4.762 5.864 7.464
angles: 90.00 90.00 90.00
Positions (direct):
1 Pr 0.000 0.098 0.000
2 Pr 0.000 0.902 0.500
3 Pr 0.500 0.375 0.369
4 Pr 0.500 0.625 0.869
5 Ag 0.000 0.401 0.650
6 Ag 0.000 0.599 0.150
7 Pt 0.500 0.111 0.726
8 Pt 0.500 0.889 0.226

3.
DFT (PBE) results for crystalline SrNbAl at its relaxed geometry.

Values from the calculation:
**Excess energy over the best structure of this formula in the dataset**: 53.8 kJ per mole of atoms
**Size of the total moment**: 2.94 μB per cell
**Final energy**: -10.86 eV per cell

abc: 5.092 5.092 5.092
angles: 60.00 60.00 60.00
Positions (direct):
1 Sr 0.000 0.000 0.000
2 Nb 0.250 0.250 0.250
3 Al 0.750 0.750 0.750

Number 1: mass density 6.86 Mg/m³. Number 2: mass density 9.32 Mg/m³. Number 3: mass density 3.69 Mg/m³.